A geometry-optimized CuSbTeO6 structure, computed with PBE-GGA.

The total energy comes out at -5.511 eV/atom. The volume comes out at 12.63 Å³ per atom.

The space group is P-31c (No. 163) and the conventional cell measures 5.2845, 5.2845 and 9.3995 Å, with angles of 90.00, 90.00 and 120.00 degrees. The distinct sites, in fractional coordinates, are Cu at (0.0000, 0.0000, 0.0000), Sb at (0.3333, 0.6667, 0.2500), Te at (0.3333, 0.6667, 0.7500) and O at (0.0061, 0.3608, 0.6342).